Entry one
PBE TaReBr2, optimized geometry; calculated volume = 71 Å³ per cell; density of states at the Fermi level = 3.02 states/eV per cell
1.0
4.660 0.000 0.000
0.000 3.122 0.000
-1.825 0.000 4.872
Ta Re Br
1 1 2
Cartesian
0.000 0.000 0.000
-0.912 1.561 2.436
1.418 0.000 2.436
2.330 1.561 0.000

Entry two
PBE TaReBr2, optimized geometry; calculated volume = 73 Å³ per cell; density of states at the Fermi level = 4.07 states/eV per cell
1.0
-2.120 2.120 4.062
2.120 -2.120 4.062
2.120 2.120 -4.062
Ta Re Br
1 1 2
Cartesian
0.000 0.000 0.000
0.000 0.000 4.062
2.120 0.000 2.031
0.000 2.120 2.031

Least stable structure: entry two

Entry one
PBE Re2TcBr2, optimized geometry; calculated volume = 96 Å³ per cell; density of states at the Fermi level = 4.02 states/eV per cell
1.0
-2.004 2.004 5.973
2.004 -2.004 5.973
2.004 2.004 -5.973
Re Tc Br
2 1 2
Cartesian
0.000 0.000 1.148
0.000 0.000 10.799
0.000 0.000 5.973
2.004 0.000 2.987
0.000 2.004 2.987

Entry two
PBE Re2TcBr2, optimized geometry; calculated volume = 209 Å³ per cell; density of states at the Fermi level = 8.46 states/eV per cell
1.0
6.477 0.000 0.000
0.000 6.477 0.000
0.000 0.000 4.977
Re Tc Br
4 2 4
Cartesian
0.847 2.392 0.000
2.392 5.630 0.000
4.085 0.847 0.000
5.630 4.085 0.000
0.000 0.000 0.000
3.239 3.239 0.000
1.250 1.988 2.488
1.988 5.227 2.488
4.489 1.250 2.488
5.227 4.489 2.488

Entry three
PBE Re2TcBr2, optimized geometry; calculated volume = 165 Å³ per cell; density of states at the Fermi level = 7.99 states/eV per cell
1.0
7.553 0.000 0.000
0.000 7.553 0.000
0.000 0.000 2.896
Re Tc Br
4 2 4
Cartesian
1.304 2.473 0.000
2.473 6.249 0.000
5.081 1.304 0.000
6.249 5.081 0.000
0.000 0.000 1.448
3.777 3.777 1.448
1.032 4.809 1.448
2.745 1.032 1.448
4.809 6.521 1.448
6.521 2.745 1.448

Least stable structure: entry three

Entry one
PBE ReTc2Br, optimized geometry; calculated volume = 63 Å³ per cell; density of states at the Fermi level = 6.10 states/eV per cell
1.0
1.445 0.834 8.712
-1.445 0.834 8.712
0.000 -1.668 8.712
Re Tc Br
1 2 1
Cartesian
0.000 0.000 0.000
0.000 0.000 12.958
0.000 0.000 19.519
0.000 0.000 6.359

Entry two
PBE ReTc2Br, optimized geometry; calculated volume = 61 Å³ per cell; density of states at the Fermi level = 3.24 states/eV per cell
1.0
-1.483 2.257 4.524
1.483 -2.257 4.524
1.483 2.257 -4.524
Re Tc Br
1 2 1
Cartesian
0.000 0.000 0.000
1.483 0.000 2.415
0.000 2.257 2.109
0.000 0.000 4.524

Least stable structure: entry two

Entry one
PBE ReTc3Br, optimized geometry; calculated volume = 111 Å³ per cell; density of states at the Fermi level = 6.64 states/eV per cell
1.0
4.801 0.000 0.000
0.000 4.801 0.000
0.000 0.000 4.801
Re Tc Br
1 3 1
Cartesian
0.000 0.000 0.000
0.000 0.000 2.401
0.000 2.401 0.000
2.401 0.000 0.000
2.401 2.401 2.401

Entry two
PBE ReTc3Br, optimized geometry; calculated volume = 90 Å³ per cell; density of states at the Fermi level = 4.70 states/eV per cell
1.0
4.476 0.000 0.000
0.000 4.476 0.000
0.000 0.000 4.476
Re Tc Br
1 3 1
Cartesian
0.000 0.000 0.000
0.000 2.238 2.238
2.238 0.000 2.238
2.238 2.238 0.000
2.238 2.238 2.238

Least stable structure: entry two

Entry one
PBE Re2TeBr, optimized geometry; calculated volume = 71 Å³ per cell; density of states at the Fermi level = 2.93 states/eV per cell
1.0
4.262 -1.560 0.000
4.262 1.560 0.000
-1.202 0.000 5.348
Re Te Br
2 1 1
Cartesian
1.778 0.000 1.481
5.544 0.000 3.867
4.262 0.000 0.000
-0.601 0.000 2.674

Entry two
PBE Re2TeBr, optimized geometry; calculated volume = 191 Å³ per cell; density of states at the Fermi level = 2.18 states/eV per cell
1.0
-2.880 2.880 5.752
2.880 -2.880 5.752
2.880 2.880 -5.752
Re Te Br
4 2 2
Cartesian
4.320 1.280 -1.438
1.280 1.440 1.438
-1.440 1.600 4.314
1.600 1.440 7.190
2.880 0.000 2.876
0.000 0.000 5.752
0.000 0.000 0.000
0.000 2.880 2.876

Least stable structure: entry two

Entry one
PBE Re2TeBr, optimized geometry; calculated volume = 97 Å³ per cell; density of states at the Fermi level = 1.88 states/eV per cell
1.0
3.414 -1.542 0.000
3.414 1.542 0.000
-1.737 0.000 9.244
Re Te Br
2 1 1
Cartesian
0.000 0.000 0.000
3.339 0.000 7.772
1.008 0.000 5.753
3.084 0.000 2.038

Entry two
PBE Re2TeBr, optimized geometry; calculated volume = 75 Å³ per cell; density of states at the Fermi level = 5.42 states/eV per cell
1.0
3.014 0.000 0.000
0.000 4.517 0.000
0.000 0.000 5.494
Re Te Br
2 1 1
Cartesian
0.000 0.000 0.000
1.507 0.000 2.747
0.000 2.258 2.747
1.507 2.258 0.000

Entry three
PBE Re2TeBr, optimized geometry; calculated volume = 71 Å³ per cell; density of states at the Fermi level = 2.91 states/eV per cell
1.0
1.570 0.907 8.366
-1.570 0.907 8.366
0.000 -1.813 8.366
Re Te Br
2 1 1
Cartesian
0.000 0.000 6.195
0.000 0.000 18.902
0.000 0.000 12.548
0.000 0.000 0.000

Least stable structure: entry two

Entry one
PBE Re2TeBr, optimized geometry; calculated volume = 70 Å³ per cell; density of states at the Fermi level = 3.20 states/eV per cell
1.0
3.268 0.000 0.000
0.000 3.268 0.000
0.000 0.000 6.588
Re Te Br
2 1 1
Cartesian
0.000 0.000 1.528
0.000 0.000 5.060
1.634 1.634 0.000
1.634 1.634 3.294

Entry two
PBE Re2TeBr, optimized geometry; calculated volume = 69 Å³ per cell; density of states at the Fermi level = 3.80 states/eV per cell
1.0
4.611 0.000 0.000
0.000 4.611 0.000
0.000 0.000 3.257
Re Te Br
2 1 1
Cartesian
0.000 2.306 0.000
2.306 0.000 0.000
0.000 0.000 1.629
2.306 2.306 1.629

Entry three
PBE Re2TeBr, optimized geometry; calculated volume = 93 Å³ per cell; density of states at the Fermi level = 2.77 states/eV per cell
1.0
4.172 0.000 0.000
0.000 4.285 0.000
-0.432 0.000 5.175
Re Te Br
2 1 1
Cartesian
0.636 0.000 1.824
3.103 0.000 3.352
0.000 2.142 0.000
1.870 2.142 2.588

Entry four
PBE Re2TeBr, optimized geometry; calculated volume = 75 Å³ per cell; density of states at the Fermi level = 4.67 states/eV per cell
1.0
2.749 -4.722 0.000
2.749 4.722 0.000
-1.869 0.000 2.903
Re Te Br
2 1 1
Cartesian
1.375 2.361 0.000
1.375 -2.361 0.000
-0.935 0.000 1.451
1.815 0.000 1.451

Least stable structure: entry four

Entry one
PBE ReTeBr, optimized geometry; calculated volume = 72 Å³ per cell; density of states at the Fermi level = 3.52 states/eV per cell
1.0
0.000 2.822 8.036
1.596 0.000 8.036
1.596 2.822 0.000
Re Te Br
1 1 1
Cartesian
0.000 0.000 0.000
1.596 2.822 5.889
1.596 2.822 10.110

Entry two
PBE ReTeBr, optimized geometry; calculated volume = 72 Å³ per cell; density of states at the Fermi level = 2.88 states/eV per cell
1.0
-1.610 1.610 6.946
1.610 -1.610 6.946
1.610 1.610 -6.946
Re Te Br
1 1 1
Cartesian
0.000 0.000 0.000
0.000 0.000 5.396
0.000 0.000 8.757

Least stable structure: entry one

Entry one
PBE ReTeBr, optimized geometry; calculated volume = 66 Å³ per cell
1.0
0.000 3.211 3.211
3.211 0.000 3.211
3.211 3.211 0.000
Re Te Br
1 1 1
Cartesian
0.000 0.000 0.000
1.606 1.606 1.606
4.817 4.817 4.817

Entry two
PBE ReTeBr, optimized geometry; calculated volume = 77 Å³ per cell; density of states at the Fermi level = 2.88 states/eV per cell
1.0
3.439 0.000 0.000
-1.720 2.978 0.000
0.000 0.000 7.531
Re Te Br
1 1 1
Cartesian
0.000 0.000 0.000
1.720 0.993 1.749
0.000 1.986 5.612

Least stable structure: entry one

Entry one
PBE Re3TeBr, optimized geometry; calculated volume = 121 Å³ per cell; density of states at the Fermi level = 4.32 states/eV per cell
1.0
4.944 0.000 0.000
0.000 4.944 0.000
0.000 0.000 4.944
Re Te Br
3 1 1
Cartesian
0.000 0.000 2.472
0.000 2.472 0.000
2.472 0.000 0.000
0.000 0.000 0.000
2.472 2.472 2.472

Entry two
PBE Re3TeBr, optimized geometry; calculated volume = 99 Å³ per cell; density of states at the Fermi level = 5.50 states/eV per cell
1.0
4.633 0.000 0.000
0.000 4.633 0.000
0.000 0.000 4.633
Re Te Br
3 1 1
Cartesian
0.000 0.000 2.316
0.000 2.316 0.000
2.316 0.000 0.000
2.316 2.316 2.316
0.000 0.000 0.000

Least stable structure: entry one

Entry one
PBE Th2ReBr, optimized geometry; calculated volume = 102 Å³ per cell; density of states at the Fermi level = 3.69 states/eV per cell
1.0
3.451 0.000 0.000
0.000 3.451 0.000
0.000 0.000 8.550
Th Re Br
2 1 1
Cartesian
0.000 0.000 1.821
0.000 0.000 6.729
1.725 1.725 0.000
1.725 1.725 4.275

Entry two
PBE Th2ReBr, optimized geometry; calculated volume = 120 Å³ per cell; density of states at the Fermi level = 1.07 states/eV per cell
1.0
2.100 1.212 7.883
-2.100 1.212 7.883
0.000 -2.425 7.883
Th Re Br
2 1 1
Cartesian
0.000 0.000 5.404
0.000 0.000 18.245
0.000 0.000 11.824
0.000 0.000 0.000

Least stable structure: entry one

Entry one
PBE TiRe2Br, optimized geometry; calculated volume = 63 Å³ per cell; density of states at the Fermi level = 2.42 states/eV per cell
1.0
0.000 3.162 3.162
3.162 0.000 3.162
3.162 3.162 0.000
Ti Re Br
1 2 1
Cartesian
0.000 0.000 0.000
1.581 1.581 1.581
4.742 4.742 4.742
3.162 3.162 3.162

Entry two
PBE TiRe2Br, optimized geometry; calculated volume = 142 Å³ per cell; density of states at the Fermi level = 8.12 states/eV per cell
1.0
-1.854 1.854 10.314
1.854 -1.854 10.314
1.854 1.854 -10.314
Ti Re Br
2 4 2
Cartesian
0.000 0.000 0.000
0.000 1.854 5.157
2.780 0.791 -2.579
0.791 0.927 2.579
-0.927 1.062 7.736
1.062 0.927 12.893
1.854 0.000 5.157
0.000 0.000 10.314

Least stable structure: entry one